First-principles (PBE) data for crystalline Be2MoIr at its relaxed geometry, as listed in Alexandria.

Unit cell a=7.842 b=7.842 c=7.842 alpha=20.11 beta=20.11 gamma=20.11
Fractional coordinates of all 4 atoms:
Be1 0.244 0.244 0.244
Be2 0.756 0.756 0.756
Mo1 0.000 0.000 0.000
Ir1 0.500 0.500 0.500

Calculated values
Energy above the most stable polymorph in this dataset: 0.338 eV/atom
Formation enthalpy at 0 K: 0.038 eV/atom
Crystal system: trigonal
SG: R-3m, No. 166